The following is a DFT calculation (PBE) of crystalline MgAg2Hg2 at its relaxed geometry.

Cell and atoms, written as extended XYZ:
```
5
Lattice="4.792 -2.119 0.000 4.792 2.119 0.000 -4.675 0.000 4.897" Properties=species:S:1:pos:R:3 pbc="T T T"
Mg 0.000 0.000 0.000
Ag -0.851 0.000 2.928
Ag 5.759 0.000 1.969
Hg 2.947 0.000 0.994
Hg 1.961 0.000 3.904
```

Values from the calculation:
- ΔE to the lowest computed polymorph: 0 meV/atom
- SG: No. 12
- ΔE_f: -0.063 eV per atom